Version A
HfZnIr3: optimized geometry, GGA-PBE.

```
HfZnIr3
1.0
4.4821 0.0000 0.0000
0.0000 4.4821 0.0000
0.0000 0.0000 4.4821
Hf Zn Ir
1 1 3
Direct
0.0000 0.0000 0.0000
0.5000 0.5000 0.5000
0.0000 0.5000 0.5000
0.5000 0.0000 0.5000
0.5000 0.5000 0.0000
```

Results
SG: Pm-3m, No. 221

=====

Version B
HfZnIr3: optimized geometry, GGA-PBE.

```
HfZnIr3
1.0
4.8231 0.0000 0.0000
0.0000 4.8231 0.0000
0.0000 0.0000 4.8231
Hf Zn Ir
1 1 3
Direct
0.0000 0.0000 0.0000
0.5000 0.5000 0.5000
0.0000 0.0000 0.5000
0.0000 0.5000 0.0000
0.5000 0.0000 0.0000
```

Results
SG: Pm-3m, No. 221

=====

Which one sits at the top of the stability order? version A does.